First-principles (PBE) data for an optimized crystal structure of Ca2TbPr6, as listed in Alexandria via LeMat-Bulk.

Cell lengths 8.289, 8.289, 5.600 Å; angles 90.00, 90.00, 116.12 degrees
Element x y z (fractional)
1 Ca 0.213 0.787 0.000
2 Ca 0.787 0.213 0.000
3 Tb 0.000 0.000 0.500
4 Pr 0.183 0.450 0.500
5 Pr 0.271 0.271 0.000
6 Pr 0.450 0.183 0.500
7 Pr 0.550 0.817 0.500
8 Pr 0.729 0.729 0.000
9 Pr 0.817 0.550 0.500

Computed properties:
- energy (eV/atom) = -3.876
- calculated volume (Å³/f.u.) = 345.5
- space-group type = Cmmm